[1]
## TaZnSn2F (PBE-GGA)

Data for crystalline TaZnSn2F at its relaxed geometry.

Summary:
N(E_F) in states/eV/f.u.: 4.709
ΔE_f (raw) in eV per formula unit: 3.9
Excess energy over the best structure of this formula in the dataset in meV per atom: 619
Magnetic moment in μB/f.u.: 0.5
Uncorrected energy in eV/atom: -3.8196

a b c (Å): 5.0304 5.0304 4.9413
angles (deg): 90.00 90.00 90.00
Closest atoms and distances in Å follow each position.
Fractional positions:
Ta: 0.0000 0.0000 0.0000  2 Zn 2.47
Zn: 0.0000 0.0000 0.5000  2 Ta 2.47, 4 Sn 2.52
Sn: 0.0000 0.5000 0.5000  2 Zn 2.52
Sn: 0.5000 0.0000 0.5000  2 Zn 2.52
F: 0.5000 0.5000 0.0000  8 Sn 3.53, 4 Ta 3.56

=====

[2]
## Tb2SnF (PBE-GGA)

Data for crystalline Tb2SnF at its relaxed geometry.

Summary:
N(E_F) in states/eV/f.u.: 3.389
ΔE_f (raw) in eV per formula unit: -6.0
Magnetic moment in μB/f.u.: 0.0
Uncorrected energy in eV/atom: -5.2860

a b c (Å): 7.6984 7.6984 7.6984
angles (deg): 35.57 35.57 35.57
Closest atoms and distances in Å follow each position.
Fractional positions:
Tb: 0.1017 0.1017 0.1017  1 F 2.20
Tb: 0.8983 0.8983 0.8983  1 F 2.20
Sn: 0.5000 0.5000 0.5000  6 Tb 3.06
F: 0.0000 0.0000 0.0000  2 Tb 2.20

=====

[3]
## TcSnF6 (PBE-GGA)

Data for crystalline TcSnF6 at its relaxed geometry.

Summary:
ΔE_f (raw) in eV per formula unit: -17.3
Magnetic moment in μB/f.u.: 3.0
Uncorrected energy in eV/atom: -5.3648

a b c (Å): 5.4728 5.4728 10.3736
angles (deg): 92.17 92.17 61.17
Closest atoms and distances in Å follow each position.
Fractional positions:
Tc: 0.0000 0.5000 0.0000  6 F 1.95-1.99
Tc: 0.5000 0.0000 0.5000  6 F 1.95-1.99
Sn: 0.1692 0.8308 0.7500  4 F 2.27-2.52
Sn: 0.8308 0.1692 0.2500  4 F 2.27-2.52
F: 0.0143 0.8004 0.1088  1 Tc 1.99
F: 0.1966 0.2313 0.1383  1 Tc 1.97
F: 0.1996 0.9857 0.3912  1 Tc 1.99
F: 0.2313 0.1966 0.6383  1 Tc 1.97
F: 0.3368 0.4340 0.9125  1 Tc 1.95
F: 0.4340 0.3368 0.4125  1 Tc 1.95
F: 0.5660 0.6632 0.5875  1 Tc 1.95
F: 0.6632 0.5660 0.0875  1 Tc 1.95
F: 0.7687 0.8034 0.3617  1 Tc 1.97
F: 0.8004 0.0143 0.6088  1 Tc 1.99
F: 0.8034 0.7687 0.8617  1 Tc 1.97
F: 0.9857 0.1996 0.8912  1 Tc 1.99